# AgSe3

Crystalline AgSe3 at its relaxed geometry (PBE, Alexandria).

Unit cell a=4.864 b=4.864 c=4.864 alpha=60.00 beta=60.00 gamma=60.00
Fractional positions:
Ag: 0.000 0.000 0.000
Se: 0.250 0.250 0.250
Se: 0.500 0.500 0.500
Se: 0.750 0.750 0.750

## Properties
- formation energy (no corrections) (eV per formula unit) = 2.0
- calculated total energy (eV/atom) = -2.84